Record 1
# Li6Fe7O15

Li6Fe7O15 after structural relaxation (PBE with a Hubbard U, Alexandria).

The structure in POSCAR format:
```
Li6Fe7O15
1.0
7.7199 -1.9809 0.0000
7.7199 1.9809 0.0000
-1.8621 0.0000 8.8050
Li Fe O
6 7 15
Cartesian
1.4359 0.0000 0.2033
0.8002 0.0000 3.2470
3.1268 0.0000 6.7410
10.4509 0.0000 2.0640
12.7775 0.0000 5.5580
12.1418 0.0000 8.6017
3.9141 0.0000 3.8141
4.5475 0.0000 0.9350
6.0909 0.0000 7.2892
6.7888 0.0000 4.4025
7.4868 0.0000 1.5158
9.0302 0.0000 7.8700
9.6636 0.0000 4.9909
-0.9311 0.0000 4.4025
-0.1037 0.0000 1.4686
2.1692 0.0000 4.8387
1.4758 0.0000 8.1033
3.0012 0.0000 2.1088
5.0559 0.0000 5.5092
5.7086 0.0000 2.6728
4.4311 0.0000 8.6853
9.1466 0.0000 0.1197
7.8690 0.0000 6.1322
8.5217 0.0000 3.2958
10.5765 0.0000 6.6962
12.1019 0.0000 0.7017
11.4085 0.0000 3.9663
13.6814 0.0000 7.3364
```

Summary:
E_tot	-5.964	eV/atom
volume	9.618	A^3/atom

***

Record 2
# LiFeO3

LiFeO3 after structural relaxation (PBE with a Hubbard U, Alexandria).

The structure in POSCAR format:
```
LiFeO3
1.0
2.5351 -4.2475 0.0000
2.5351 4.2475 0.0000
-1.2640 0.0000 9.6662
Li Fe O
4 4 12
Cartesian
1.5871 3.2467 7.2496
2.2191 2.2105 2.4165
1.5871 -2.2105 7.2496
2.2191 -3.2467 2.4165
0.0322 0.6766 9.6635
0.6642 -0.6766 4.8304
3.1420 0.6766 4.8358
3.7740 -0.6766 0.0027
-0.3690 0.4913 5.9107
0.5633 2.1409 8.5707
0.2630 -0.4913 1.0776
1.5724 0.5818 3.7938
2.6109 2.1409 5.9286
0.9404 -0.5818 8.6269
2.8658 0.5818 1.0392
1.1953 -2.1409 3.7376
2.2338 -0.5818 5.8723
3.5432 0.4913 8.5886
3.2429 -2.1409 1.0955
4.1752 -0.4913 3.7555
```

Summary:
E_tot	-5.595	eV/atom
volume	10.408	A^3/atom

***

Record 3
# Li5Fe3O8

Li5Fe3O8 after structural relaxation (PBE with a Hubbard U, Alexandria).

The structure in POSCAR format:
```
Li5Fe3O8
1.0
5.7283 0.0000 0.0000
0.0000 9.7034 0.0000
-2.8485 0.0000 5.0417
Li Fe O
10 6 16
Cartesian
-0.0102 0.0000 1.6564
0.0188 7.2498 1.6976
-1.4130 7.1368 4.3120
-0.0215 2.2493 3.2547
1.4344 2.2729 0.7478
1.4454 7.1245 4.2939
2.9013 7.1010 1.7870
4.2928 2.2851 0.7297
2.8610 2.3981 3.3441
2.8900 4.8517 3.3853
-1.4337 9.6479 4.1817
1.4470 4.7960 0.8601
0.0274 4.8093 3.3786
2.8524 9.6610 1.6631
1.4328 9.6477 4.1817
4.3136 4.7963 0.8601
-1.3428 5.8609 2.4629
0.0129 5.8893 0.1177
0.0151 3.6585 1.5405
-1.3405 3.7746 4.2937
1.4791 8.6271 0.7500
-0.0012 8.5669 3.4357
0.0008 1.0671 4.8574
1.3843 5.8637 2.4563
1.4955 1.0120 2.5854
2.8790 5.9188 0.1844
2.8810 3.7152 1.6060
1.4007 3.7755 4.2917
4.2203 8.6262 0.7480
2.8647 8.5101 3.5012
2.8669 1.0376 4.9241
4.2227 1.0092 2.5788
```

Summary:
E_tot	-5.626	eV/atom
volume	8.757	A^3/atom

***

Copy entry 1 word for word.
# Li6Fe7O15

Li6Fe7O15 after structural relaxation (PBE with a Hubbard U, Alexandria).

The structure in POSCAR format:
```
Li6Fe7O15
1.0
7.7199 -1.9809 0.0000
7.7199 1.9809 0.0000
-1.8621 0.0000 8.8050
Li Fe O
6 7 15
Cartesian
1.4359 0.0000 0.2033
0.8002 0.0000 3.2470
3.1268 0.0000 6.7410
10.4509 0.0000 2.0640
12.7775 0.0000 5.5580
12.1418 0.0000 8.6017
3.9141 0.0000 3.8141
4.5475 0.0000 0.9350
6.0909 0.0000 7.2892
6.7888 0.0000 4.4025
7.4868 0.0000 1.5158
9.0302 0.0000 7.8700
9.6636 0.0000 4.9909
-0.9311 0.0000 4.4025
-0.1037 0.0000 1.4686
2.1692 0.0000 4.8387
1.4758 0.0000 8.1033
3.0012 0.0000 2.1088
5.0559 0.0000 5.5092
5.7086 0.0000 2.6728
4.4311 0.0000 8.6853
9.1466 0.0000 0.1197
7.8690 0.0000 6.1322
8.5217 0.0000 3.2958
10.5765 0.0000 6.6962
12.1019 0.0000 0.7017
11.4085 0.0000 3.9663
13.6814 0.0000 7.3364
```

Summary:
E_tot	-5.964	eV/atom
volume	9.618	A^3/atom

***

Among the records above, which one has the highest volume?
LiFeO3

***

Which of these has the lowest E_tot?
Li6Fe7O15